[1]
Entry from Alexandria via LeMat-Bulk: an optimized crystal structure of CsBe3Mo (GGA-PBEsol).

The space group is Pm-3m (No. 221) and the conventional cell measures 4.614, 4.614 and 4.614 Å, with angles of 90.00, 90.00 and 90.00 degrees. The distinct sites, in fractional coordinates, are Cs at (0.000, 0.000, 0.000), Be at (0.000, 0.000, 0.500) and Mo at (0.500, 0.500, 0.500).

For the formation energy from the elements, the calculation gives 3.058 eV per atom. The density of states at the Fermi level is 0.896 states/eV/atom. Its total magnetic moment is 1.52 μB per cell. The theoretical density comes out at 4326 kg/m³.


[2]
Entry from Alexandria via LeMat-Bulk: an optimized crystal structure of YAg2Mo (GGA-PBEsol).

The space group is Pmm2 (No. 25) and the conventional cell measures 3.125, 3.779 and 6.351 Å, with angles of 90.00, 90.00 and 90.00 degrees. The distinct sites, in fractional coordinates, are Y at (0.000, 0.000, 0.000), Ag at (0.000, 0.000, 0.505), Ag at (0.500, 0.500, 0.279) and Mo at (0.500, 0.500, 0.723).

For the formation energy from the elements, the calculation gives 0.320 eV per atom. The density of states at the Fermi level is 1.021 states/eV/atom. Its total magnetic moment is 0.00 μB per cell. For the offset from the most stable computed form, the calculation gives 0 meV/atom. The theoretical density comes out at 8870 kg/m³.